# 1
CsGaTcPb2: optimized geometry, PBE.

Cell: 5.596 5.596 6.178 Å, 90.00 90.00 90.00°
Space group P4/mmm (No. 123)
Unique sites:
Cs: 0.000 0.000 0.000 [1 per cell]
Ga: 0.000 0.000 0.500 [1 per cell]
Tc: 0.500 0.500 0.000 [1 per cell]
Pb: 0.000 0.500 0.500 [2 per cell]

Calculated values
Energy of formation from the pure elements = 1.25 eV/atom
Total moment = 4.298 μB per formula unit
E_tot = -3.0861 eV per atom
Crystal system = tetragonal

---

# 2
CaPrZnIr: optimized geometry, PBE.

Cell: 4.207 4.161 11.240 Å, 90.00 90.00 90.00°
Space group Amm2 (No. 38)
Unique sites:
Ca: 0.000 0.000 0.000 [2 per cell]
Pr: 0.500 0.000 0.282 [2 per cell]
Zn: 0.500 0.000 0.578 [2 per cell]
Ir: 0.000 0.000 0.716 [2 per cell]

Calculated values
Energy of formation from the pure elements = -0.45 eV/atom
Total moment = 0.000 μB per formula unit
E_tot = -4.6810 eV per atom
Excess energy over the best structure of this formula in the dataset = 0.000 eV/f.u.
Crystal system = orthorhombic

---

# 3
SrLiRe2: optimized geometry, PBE.

Cell: 3.777 3.777 5.175 Å, 90.00 90.00 90.00°
Space group P4/mmm (No. 123)
Unique sites:
Sr: 0.000 0.000 0.000 [1 per cell]
Li: 0.500 0.500 0.000 [1 per cell]
Re: 0.000 0.500 0.500 [2 per cell]

Calculated values
Energy of formation from the pure elements = 0.80 eV/atom
Total moment = 0.000 μB per formula unit
E_tot = -6.3256 eV per atom
Excess energy over the best structure of this formula in the dataset = 1.426 eV/f.u.
Crystal system = tetragonal

---

# 4
Pm2BiO: optimized geometry, PBE.

Cell: 4.650 4.650 9.138 Å, 90.00 90.00 90.00°
Space group P4/nmm (No. 129, origin choice 2)
Unique sites:
Pm: 0.250 0.250 0.160 [2 per cell]
Pm: 0.250 0.750 0.500 [2 per cell]
Bi: 0.250 0.250 0.799 [2 per cell]
O: 0.250 0.250 0.424 [2 per cell]

Calculated values
Total moment = 0.000 μB per formula unit
E_tot = -6.4865 eV per atom
Excess energy over the best structure of this formula in the dataset = 0.000 eV/f.u.
Formation energy (no corrections) = -1901 meV/atom
Crystal system = tetragonal

---

# 5
Sc2MnBiRh: optimized geometry, PBE.

Cell: 5.386 5.386 4.985 Å, 90.00 90.00 90.00°
Space group P4/mmm (No. 123)
Unique sites:
Sc: 0.000 0.500 0.000 [2 per cell]
Mn: 0.000 0.000 0.500 [1 per cell]
Bi: 0.500 0.500 0.000 [1 per cell]
Rh: 0.500 0.500 0.500 [1 per cell]

Calculated values
Energy of formation from the pure elements = 0.84 eV/atom
Total moment = 4.194 μB per formula unit
E_tot = -5.7709 eV per atom
Crystal system = tetragonal

---

# 6
La2VCd: optimized geometry, PBE.

Cell: 8.461 8.461 6.238 Å, 90.00 90.00 90.00°
Space group I-42d (No. 122)
Unique sites:
La: 0.213 0.250 0.125 [8 per cell]
V: 0.000 0.000 0.000 [4 per cell]
Cd: 0.000 0.000 0.500 [4 per cell]

Calculated values
Energy of formation from the pure elements = 0.40 eV/atom
Total moment = 2.351 μB per formula unit
E_tot = -4.5747 eV per atom
Crystal system = tetragonal

---

# 7
VBRh2: optimized geometry, PBE.

Cell: 5.793 5.793 5.793 Å, 90.00 90.00 90.00°
Space group Fm-3m (No. 225)
Unique sites:
V: 0.000 0.000 0.000 [4 per cell]
B: 0.000 0.000 0.500 [4 per cell]
Rh: 0.250 0.250 0.250 [8 per cell]

Calculated values
Energy of formation from the pure elements = 0.03 eV/atom
Total moment = 1.517 μB per formula unit
E_tot = -7.5979 eV per atom
Excess energy over the best structure of this formula in the dataset = 0.000 eV/f.u.
Crystal system = cubic

---

# 8
Mn4Br: optimized geometry, PBE.

Cell: 4.484 4.484 4.484 Å, 90.00 90.00 90.00°
Space group Pm-3m (No. 221)
Unique sites:
Mn: 0.000 0.000 0.000 [1 per cell]
Mn: 0.000 0.500 0.500 [3 per cell]
Br: 0.500 0.500 0.500 [1 per cell]

Calculated values
Total moment = 13.008 μB per formula unit
E_tot = -6.5128 eV per atom
Excess energy over the best structure of this formula in the dataset = 3.350 eV/f.u.
Formation energy (no corrections) = 1157 meV/atom
Crystal system = cubic

---

# 9
DyEr2Ni: optimized geometry, PBE.

Cell: 3.7688 3.7688 26.3912 Å, 90.00 90.00 120.00°
Space group R3m (No. 160, hexagonal axes)
Unique sites:
Dy: 0.0000 0.0000 0.0000 [3 per cell]
Er: 0.0000 0.0000 0.2277 [3 per cell]
Er: 0.0000 0.0000 0.4430 [3 per cell]
Ni: 0.0000 0.0000 0.8361 [3 per cell]

Calculated values
Energy of formation from the pure elements = -0.11 eV/atom
Total moment = 0.000 μB per formula unit
E_tot = -4.9887 eV per atom
Excess energy over the best structure of this formula in the dataset = 0.603 eV/f.u.
Crystal system = trigonal

---

# 10
La6Mg3Cd: optimized geometry, PBE.

Cell: 9.681 5.639 12.428 Å, 90.00 109.61 90.00°
Space group P2_1/m (No. 11)
Unique sites:
La: 0.043 0.250 0.415 [2 per cell]
La: 0.165 0.750 0.177 [2 per cell]
La: 0.242 0.250 0.001 [2 per cell]
La: 0.344 0.750 0.794 [2 per cell]
La: 0.361 0.250 0.349 [2 per cell]
La: 0.424 0.250 0.634 [2 per cell]
Mg: 0.039 0.750 0.876 [2 per cell]
Mg: 0.112 0.250 0.715 [2 per cell]
Mg: 0.264 0.750 0.480 [2 per cell]
Cd: 0.458 0.750 0.079 [2 per cell]

Calculated values
Energy of formation from the pure elements = -0.11 eV/atom
Total moment = 0.000 μB per formula unit
E_tot = -3.6335 eV per atom
Crystal system = monoclinic

---

# 11
Co2HgRu: optimized geometry, PBE.

Cell: 4.073 2.742 10.206 Å, 90.00 90.00 90.00°
Space group Amm2 (No. 38)
Unique sites:
Co: 0.000 0.000 0.000 [2 per cell]
Co: 0.500 0.000 0.117 [2 per cell]
Hg: 0.000 0.000 0.741 [2 per cell]
Ru: 0.500 0.000 0.404 [2 per cell]

Calculated values
Energy of formation from the pure elements = 0.45 eV/atom
Total moment = 3.543 μB per formula unit
E_tot = -5.4930 eV per atom
Crystal system = orthorhombic

---

# 12
La3ZnAu: optimized geometry, PBE.

Cell: 5.804 5.804 5.804 Å, 90.00 90.00 90.00°
Space group Pm-3m (No. 221)
Unique sites:
La: 0.000 0.000 0.500 [3 per cell]
Zn: 0.500 0.500 0.500 [1 per cell]
Au: 0.000 0.000 0.000 [1 per cell]

Calculated values
Energy of formation from the pure elements = 0.07 eV/atom
Total moment = 2.578 μB per formula unit
E_tot = -3.7935 eV per atom
Excess energy over the best structure of this formula in the dataset = 2.486 eV/f.u.
Crystal system = cubic

---

# 13
NaAlInPb2: optimized geometry, PBE.

Cell: 5.477 5.477 5.589 Å, 90.00 90.00 90.00°
Space group P4/mmm (No. 123)
Unique sites:
Na: 0.000 0.000 0.000 [1 per cell]
Al: 0.000 0.000 0.500 [1 per cell]
In: 0.500 0.500 0.000 [1 per cell]
Pb: 0.000 0.500 0.500 [2 per cell]

Calculated values
Energy of formation from the pure elements = 0.32 eV/atom
Total moment = 0.000 μB per formula unit
E_tot = -2.7215 eV per atom
Excess energy over the best structure of this formula in the dataset = 0.000 eV/f.u.
Crystal system = tetragonal